The following is a PBEsol calculation of crystalline ScHg3Se at its relaxed geometry, from the Alexandria database.

Total energy in eV per atom: -1.910

Cell: 5.2250 5.2250 5.2250 Å, 90.00 90.00 90.00°
With the nearest neighbours (Å) after each atom.
Element x y z (fractional)
Sc1 0.5000 0.5000 0.5000  12 Hg 3.69
Hg1 0.0000 0.5000 0.0000  2 Se 2.61
Hg2 0.0000 0.0000 0.5000  2 Se 2.61
Hg3 0.5000 0.0000 0.0000  2 Se 2.61
Se1 0.0000 0.0000 0.0000  6 Hg 2.61